1.
# NaMgAg2

An optimized crystal structure of NaMgAg2 (PBE-GGA, Alexandria via LeMat-Bulk).

Summary:
For the calculated formation energy, the calculation gives -0.07 eV/atom. For the volume, the calculation gives 80.0 Å³/cell.

Unit cell a=4.8935 b=4.8935 c=3.3417 alpha=90.00 beta=90.00 gamma=90.00
Closest atoms and distances in Å follow each position.
Space group P4/mmm (No. 123)
One atom of each set of equivalent atoms:
Na: 0.0000 0.0000 0.0000 (multiplicity 1)  8 Ag 2.96
Mg: 0.5000 0.5000 0.0000 (multiplicity 1)  8 Ag 2.96
Ag: 0.0000 0.5000 0.5000 (multiplicity 2)  4 Mg 2.96, 4 Na 2.96

2.
# NaMgAg

An optimized crystal structure of NaMgAg (PBE-GGA, Alexandria via LeMat-Bulk).

Summary:
For the energy above the most stable polymorph in this dataset, the calculation gives 44 meV/atom. For the calculated formation energy, the calculation gives -0.03 eV/atom. For the volume, the calculation gives 141.3 Å³/cell.

Unit cell a=3.5049 b=3.5049 c=11.5047 alpha=90.00 beta=90.00 gamma=90.00
Closest atoms and distances in Å follow each position.
Space group I4mm (No. 107)
One atom of each set of equivalent atoms:
Na: 0.0000 0.0000 0.0000 (multiplicity 2)  4 Ag 3.21, 5 Mg 3.34-3.46, 4 Na 3.50
Mg: 0.0000 0.0000 0.7094 (multiplicity 2)  4 Ag 2.80
Ag: 0.0000 0.0000 0.3233 (multiplicity 2)  4 Mg 2.80

3.
# NaMgAg2

An optimized crystal structure of NaMgAg2 (PBE-GGA, Alexandria via LeMat-Bulk).

Summary:
For the calculated formation energy, the calculation gives -0.02 eV/atom. For the volume, the calculation gives 244.5 Å³/cell.

Unit cell a=3.1281 b=3.1281 c=28.8513 alpha=90.00 beta=90.00 gamma=120.00
Closest atoms and distances in Å follow each position.
Space group R3m (No. 160, hexagonal axes)
One atom of each set of equivalent atoms:
Na: 0.0000 0.0000 0.0000 (multiplicity 3)  6 Na 3.13, 6 Ag 3.14
Mg: 0.0000 0.0000 0.8334 (multiplicity 3)  6 Ag 2.88, 6 Mg 3.13
Ag: 0.0000 0.0000 0.4223 (multiplicity 3)  3 Mg 2.88, 6 Ag 3.13, 3 Na 3.14
Ag: 0.0000 0.0000 0.5778 (multiplicity 3)  3 Mg 2.88, 6 Ag 3.13, 3 Na 3.14

4.
# NaMgAg3

An optimized crystal structure of NaMgAg3 (PBE-GGA, Alexandria via LeMat-Bulk).

Summary:
For the energy above the most stable polymorph in this dataset, the calculation gives 324 meV/atom. For the calculated formation energy, the calculation gives 0.64 eV/atom. For the volume, the calculation gives 121.4 Å³/cell.

Unit cell a=4.9511 b=4.9511 c=4.9511 alpha=90.00 beta=90.00 gamma=90.00
Closest atoms and distances in Å follow each position.
Space group Pm-3m (No. 221)
One atom of each set of equivalent atoms:
Na: 0.0000 0.0000 0.0000 (multiplicity 1)  6 Ag 2.48
Mg: 0.5000 0.5000 0.5000 (multiplicity 1)  12 Ag 3.50
Ag: 0.0000 0.0000 0.5000 (multiplicity 3)  2 Na 2.48

5.
# NaNdMgAg

An optimized crystal structure of NaNdMgAg (PBE-GGA, Alexandria via LeMat-Bulk).

Summary:
For the calculated formation energy, the calculation gives -0.02 eV/atom. For the volume, the calculation gives 397.6 Å³/cell.

Unit cell a=7.3532 b=7.3532 c=7.3532 alpha=90.00 beta=90.00 gamma=90.00
Closest atoms and distances in Å follow each position.
Space group F-43m (No. 216)
One atom of each set of equivalent atoms:
Na: 0.0000 0.0000 0.0000 (multiplicity 4)  4 Mg 3.18, 4 Nd 3.18
Nd: 0.2500 0.2500 0.2500 (multiplicity 4)  4 Na 3.18, 4 Ag 3.18
Mg: 0.2500 0.2500 0.7500 (multiplicity 4)  4 Na 3.18, 4 Ag 3.18
Ag: 0.0000 0.0000 0.5000 (multiplicity 4)  4 Mg 3.18, 4 Nd 3.18

6.
# NaMgAgO2

An optimized crystal structure of NaMgAgO2 (PBE-GGA, Alexandria via LeMat-Bulk).

Summary:
For the volume, the calculation gives 354.6 Å³/cell. The calculation puts the uncorrected formation energy at -1310.2 meV/atom.

Unit cell a=5.6945 b=11.6743 c=5.3335 alpha=90.00 beta=90.00 gamma=90.00
Closest atoms and distances in Å follow each position.
Space group Cmme (No. 67)
One atom of each set of equivalent atoms:
Na: 0.0000 0.2500 0.1055 (multiplicity 4)  2 O 2.29
Mg: 0.2500 0.0000 0.0000 (multiplicity 4)  4 O 2.01
Ag: 0.0000 0.0000 0.5000 (multiplicity 4)  2 O 2.13
O: 0.0000 0.0966 0.8381 (multiplicity 8)  2 Mg 2.01, 1 Ag 2.13

7.
# NaMgAgPb

An optimized crystal structure of NaMgAgPb (PBE-GGA, Alexandria via LeMat-Bulk).

Summary:
For the energy above the most stable polymorph in this dataset, the calculation gives 53 meV/atom. For the calculated formation energy, the calculation gives -0.06 eV/atom. For the volume, the calculation gives 370.0 Å³/cell.

Unit cell a=7.1790 b=7.1790 c=7.1790 alpha=90.00 beta=90.00 gamma=90.00
Closest atoms and distances in Å follow each position.
Space group F-43m (No. 216)
One atom of each set of equivalent atoms:
Na: 0.0000 0.0000 0.0000 (multiplicity 4)  4 Pb 3.11, 4 Ag 3.11
Mg: 0.0000 0.0000 0.5000 (multiplicity 4)  4 Ag 3.11, 4 Pb 3.11
Ag: 0.2500 0.2500 0.7500 (multiplicity 4)  4 Na 3.11, 4 Mg 3.11
Pb: 0.2500 0.2500 0.2500 (multiplicity 4)  4 Na 3.11, 4 Mg 3.11

8.
# NaMgAgPb

An optimized crystal structure of NaMgAgPb (PBE-GGA, Alexandria via LeMat-Bulk).

Summary:
For the energy above the most stable polymorph in this dataset, the calculation gives 0 meV/atom. For the calculated formation energy, the calculation gives -0.11 eV/atom. For the volume, the calculation gives 96.1 Å³/cell.

Unit cell a=3.4770 b=3.4770 c=7.9481 alpha=90.00 beta=90.00 gamma=90.00
Closest atoms and distances in Å follow each position.
Space group P4mm (No. 99)
One atom of each set of equivalent atoms:
Na: 0.0000 0.0000 0.0000 (multiplicity 1)  4 Ag 3.20, 4 Pb 3.43, 4 Na 3.48, 1 Mg 3.53
Mg: 0.0000 0.0000 0.4443 (multiplicity 1)  4 Ag 2.87, 4 Pb 3.19
Ag: 0.5000 0.5000 0.2582 (multiplicity 1)  4 Mg 2.87, 4 Na 3.20
Pb: 0.5000 0.5000 0.6996 (multiplicity 1)  4 Mg 3.19, 4 Na 3.43, 4 Pb 3.48, 1 Ag 3.51